1.
## La2SbPb (PBE)

Data for a relaxed La2SbPb crystal.

Geometry as CIF:
```
data_La2SbPb
_space_group_name_H-M_alt 'C m c m'
_space_group_IT_number 63
_space_group_name_Hall '-C 2c 2'
_cell_length_a 4.7394
_cell_length_b 25.4258
_cell_length_c 4.5879
_cell_angle_alpha 90.00
_cell_angle_beta 90.00
_cell_angle_gamma 90.00
loop_
_atom_site_label
_atom_site_fract_x
_atom_site_fract_y
_atom_site_fract_z
_atom_site_occupancy
La1 0.0000 0.0640 0.2500 1
La2 0.0000 0.3139 0.2500 1
Sb1 0.0000 0.1879 0.2500 1
Pb1 0.0000 0.4539 0.2500 1
```

Calculated values
**Theoretical density**: 7.29 Mg/m³
**Size of the total moment**: 0.0000 μB/atom
**E_form (uncorrected)**: -0.944 eV/atom
**D(E_F)**: 0.547 states/eV per atom

=====

2.
## LaSb2Pb (PBE)

Data for a relaxed LaSb2Pb crystal.

Geometry as CIF:
```
data_LaSb2Pb
_space_group_name_H-M_alt 'C m m m'
_space_group_IT_number 65
_space_group_name_Hall '-C 2 2'
_cell_length_a 4.8434
_cell_length_b 5.8566
_cell_length_c 8.8284
_cell_angle_alpha 90.00
_cell_angle_beta 90.00
_cell_angle_gamma 90.00
loop_
_atom_site_label
_atom_site_fract_x
_atom_site_fract_y
_atom_site_fract_z
_atom_site_occupancy
La1 0.0000 0.0000 0.0000 1
Sb1 0.0000 0.5000 0.2424 1
Pb1 0.0000 0.0000 0.5000 1
```

Calculated values
**Theoretical density**: 7.82 Mg/m³
**Size of the total moment**: 0.0000 μB/atom
**E_form (uncorrected)**: -0.406 eV/atom
**D(E_F)**: 0.809 states/eV per atom